Compound: PmZrMo4
Source: Alexandria via LeMat-Bulk
Functional: PBE
Structure: relaxed

Cell lengths 5.4821, 5.4821, 5.4821 Å; angles 60.00, 60.00, 60.00 degrees
With the nearest neighbours (Å) after each atom.
Fractional positions:
1 Mo 0.6251 0.6251 0.1248  6 Mo 2.74
2 Mo 0.6251 0.1248 0.6251  6 Mo 2.74
3 Mo 0.6251 0.6251 0.6251  6 Mo 2.74
4 Mo 0.1248 0.6251 0.6251  6 Mo 2.74
5 Zr 0.2500 0.2500 0.2500  12 Mo 3.21, 4 Pm 3.36
6 Pm 0.0000 0.0000 0.0000  12 Mo 3.21, 4 Zr 3.36

Output
Energy relative to the elements: 0.0847 eV/atom
Electronic total energy: -9.3525 eV/atom



Compound: Pr4Mo
Source: Alexandria via LeMat-Bulk
Functional: PBE
Structure: relaxed

Cell lengths 5.6317, 5.6317, 5.6317 Å; angles 90.00, 90.00, 90.00 degrees
With the nearest neighbours (Å) after each atom.
Fractional positions:
1 Pr 0.0000 0.0000 0.0000  12 Pr 3.98
2 Pr 0.5000 0.0000 0.5000  2 Mo 2.82
3 Pr 0.0000 0.5000 0.5000  2 Mo 2.82
4 Pr 0.5000 0.5000 0.0000  2 Mo 2.82
5 Mo 0.5000 0.5000 0.5000  6 Pr 2.82

Output
Energy relative to the elements: 0.4078 eV/atom
Electronic total energy: -5.5820 eV/atom



Compound: PrMo3
Source: Alexandria via LeMat-Bulk
Functional: PBE
Structure: relaxed

Cell lengths 6.7849, 6.7849, 4.4329 Å; angles 90.00, 90.00, 120.00 degrees
With the nearest neighbours (Å) after each atom.
Fractional positions:
1 Pr 0.3333 0.6667 0.7500  12 Mo 3.26-3.42
2 Pr 0.6667 0.3333 0.2500  12 Mo 3.26-3.42
3 Mo 0.1301 0.2601 0.2500  6 Mo 2.65-2.69
4 Mo 0.7399 0.8699 0.2500  6 Mo 2.65-2.69
5 Mo 0.1301 0.8699 0.2500  6 Mo 2.65-2.69
6 Mo 0.8699 0.7399 0.7500  6 Mo 2.65-2.69
7 Mo 0.2601 0.1301 0.7500  6 Mo 2.65-2.69
8 Mo 0.8699 0.1301 0.7500  6 Mo 2.65-2.69

Output
Energy relative to the elements: 0.5543 eV/atom
Electronic total energy: -8.7639 eV/atom



Compound: PrMo6
Source: Alexandria via LeMat-Bulk
Functional: PBE
Structure: relaxed

Cell lengths 6.0140, 6.0140, 6.0140 Å; angles 109.47, 109.47, 109.47 degrees
With the nearest neighbours (Å) after each atom.
Fractional positions:
1 Pr 0.0000 0.0000 0.0000  24 Mo 3.88
2 Mo 0.2500 0.7500 0.5000  4 Mo 2.46
3 Mo 0.5000 0.7500 0.2500  4 Mo 2.46
4 Mo 0.2500 0.5000 0.7500  4 Mo 2.46
5 Mo 0.7500 0.2500 0.5000  4 Mo 2.46
6 Mo 0.5000 0.2500 0.7500  4 Mo 2.46
7 Mo 0.7500 0.5000 0.2500  4 Mo 2.46

Output
Energy relative to the elements: 1.4263 eV/atom
Electronic total energy: -8.5403 eV/atom



Compound: PrMo2
Source: Alexandria via LeMat-Bulk
Functional: PBE
Structure: relaxed

Cell lengths 5.6088, 5.6088, 5.6088 Å; angles 60.00, 60.00, 60.00 degrees
With the nearest neighbours (Å) after each atom.
Fractional positions:
1 Pr 0.0000 0.0000 0.0000  12 Mo 3.29, 4 Pr 3.43
2 Pr 0.2500 0.2500 0.2500  12 Mo 3.29, 4 Pr 3.43
3 Mo 0.1250 0.6250 0.6250  6 Mo 2.80
4 Mo 0.6250 0.1250 0.6250  6 Mo 2.80
5 Mo 0.6250 0.6250 0.6250  6 Mo 2.80
6 Mo 0.6250 0.6250 0.1250  6 Mo 2.80

Output
Energy relative to the elements: 0.2960 eV/atom
Electronic total energy: -8.5179 eV/atom



Compound: Rb3Pr3MoS8
Source: Alexandria via LeMat-Bulk
Functional: PBE
Structure: relaxed

Cell lengths 8.1849, 8.1854, 9.1698 Å; angles 116.52, 90.00, 120.00 degrees
With the nearest neighbours (Å) after each atom.
Fractional positions:
1 Rb 0.0000 0.0000 0.0000  6 S 3.33-3.36
2 Rb 0.0000 0.5000 0.0000  6 S 3.33-3.36
3 Rb 0.5000 0.5000 0.0000  6 S 3.33-3.36
4 Pr 0.5000 0.0000 0.5000  6 S 2.84-2.88
5 Pr 0.5000 0.5000 0.5000  6 S 2.84-2.88
6 Pr 0.0000 0.5000 0.5000  6 S 2.84-2.88
7 Mo 0.0000 0.0000 0.5000  6 S 2.54
8 S 0.2663 0.5325 0.2989  3 Pr 2.84
9 S 0.7337 0.4675 0.7011  3 Pr 2.84
10 S 0.7913 0.5826 0.3185  1 Mo 2.54
11 S 0.2087 0.4174 0.6815  1 Mo 2.54
12 S 0.7914 0.0270 0.3185  1 Mo 2.54
13 S 0.2086 0.9730 0.6815  1 Mo 2.54
14 S 0.2357 0.0270 0.3185  1 Mo 2.54
15 S 0.7643 0.9730 0.6815  1 Mo 2.54

Output
Uncorrected formation energy: -1.475 eV per atom
Electronic total energy: -5.5474 eV/atom



Compound: PrReMo
Source: Alexandria via LeMat-Bulk
Functional: PBE
Structure: relaxed

Cell lengths 5.6244, 5.6244, 13.7618 Å; angles 78.21, 78.21, 60.00 degrees
With the nearest neighbours (Å) after each atom.
Fractional positions:
1 Pr 0.7351 0.7351 0.7948  6 Re 3.19-3.29, 6 Mo 3.29, 4 Pr 3.42-3.43
2 Pr 0.2649 0.2649 0.2052  6 Re 3.19-3.29, 6 Mo 3.29, 4 Pr 3.42-3.43
3 Pr 0.0409 0.0409 0.8772  3 Mo 3.23, 9 Re 3.26-3.30, 4 Pr 3.28-3.43
4 Pr 0.9591 0.9591 0.1228  3 Mo 3.23, 9 Re 3.26-3.30, 4 Pr 3.28-3.43
5 Pr 0.1797 0.1797 0.4608  9 Mo 3.21-3.30, 3 Re 3.29, 4 Pr 3.41-3.42
6 Pr 0.8203 0.8203 0.5392  9 Mo 3.21-3.30, 3 Re 3.29, 4 Pr 3.41-3.42
7 Mo 0.2218 0.7230 0.3322  2 Re 2.75-2.77, 4 Mo 2.81-2.82
8 Mo 0.7230 0.2218 0.3322  2 Re 2.75-2.77, 4 Mo 2.81-2.82
9 Mo 0.7230 0.7230 0.3322  2 Re 2.75-2.77, 4 Mo 2.81-2.82
10 Mo 0.7782 0.2770 0.6678  2 Re 2.75-2.77, 4 Mo 2.81-2.82
11 Mo 0.2770 0.7782 0.6678  2 Re 2.75-2.77, 4 Mo 2.81-2.82
12 Mo 0.2770 0.2770 0.6678  2 Re 2.75-2.77, 4 Mo 2.81-2.82
13 Re 0.3888 0.3888 0.8337  3 Mo 2.75, 3 Re 2.75
14 Re 0.6112 0.6112 0.1663  3 Mo 2.75, 3 Re 2.75
15 Re 0.0000 0.5000 0.0000  6 Re 2.75-2.81
16 Re 0.5000 0.0000 0.0000  6 Re 2.75-2.81
17 Re 0.5000 0.5000 0.0000  6 Re 2.75-2.81
18 Re 0.5000 0.5000 0.5000  6 Mo 2.77

Output
Energy relative to the elements: 0.1827 eV/atom
Electronic total energy: -9.1702 eV/atom



Compound: PrMoRu
Source: Alexandria via LeMat-Bulk
Functional: PBE
Structure: relaxed

Cell lengths 4.4958, 4.4958, 6.6830 Å; angles 90.00, 90.00, 90.00 degrees
With the nearest neighbours (Å) after each atom.
Fractional positions:
1 Ru 0.5000 0.0000 0.6733  4 Mo 2.53
2 Ru 0.0000 0.5000 0.3267  4 Mo 2.53
3 Pr 0.5000 0.0000 0.1440  5 Ru 3.15-3.41, 4 Mo 3.27
4 Pr 0.0000 0.5000 0.8560  5 Ru 3.15-3.41, 4 Mo 3.27
5 Mo 0.5000 0.5000 0.5000  4 Ru 2.53
6 Mo 0.0000 0.0000 0.5000  4 Ru 2.53

Output
Energy relative to the elements: 0.0235 eV/atom
Electronic total energy: -8.2720 eV/atom



Compound: PrMo6S8
Source: Alexandria via LeMat-Bulk
Functional: PBE
Structure: relaxed

Cell lengths 6.5514, 6.5514, 6.5514 Å; angles 88.89, 88.89, 88.89 degrees
With the nearest neighbours (Å) after each atom.
Fractional positions:
1 Pr 0.0000 0.0000 0.0000  8 S 2.82-3.05
2 Mo 0.7741 0.5799 0.4376  5 S 2.41-2.61, 2 Mo 2.68
3 Mo 0.4376 0.7741 0.5799  5 S 2.41-2.61, 2 Mo 2.68
4 Mo 0.5799 0.4376 0.7741  5 S 2.41-2.61, 2 Mo 2.68
5 Mo 0.2259 0.4201 0.5624  5 S 2.41-2.61, 2 Mo 2.68
6 Mo 0.5624 0.2259 0.4201  5 S 2.41-2.61, 2 Mo 2.68
7 Mo 0.4201 0.5624 0.2259  5 S 2.41-2.61, 2 Mo 2.68
8 S 0.7565 0.7565 0.7565  3 Mo 2.41
9 S 0.2435 0.2435 0.2435  3 Mo 2.41
10 S 0.2509 0.6255 0.8729  4 Mo 2.45-2.61
11 S 0.8729 0.2509 0.6255  4 Mo 2.45-2.61
12 S 0.6255 0.8729 0.2509  4 Mo 2.45-2.61
13 S 0.7491 0.3745 0.1271  4 Mo 2.45-2.61
14 S 0.1271 0.7491 0.3745  4 Mo 2.45-2.61
15 S 0.3745 0.1271 0.7491  4 Mo 2.45-2.61

Output
Uncorrected formation energy: -0.923 eV per atom
Electronic total energy: -7.7756 eV/atom



Compound: PrMoS2
Source: Alexandria via LeMat-Bulk
Functional: PBE
Structure: relaxed

Cell lengths 3.3073, 3.3073, 9.1289 Å; angles 79.56, 79.56, 60.00 degrees
With the nearest neighbours (Å) after each atom.
Fractional positions:
1 Pr 0.0000 0.0000 0.0000  2 S 2.90
2 Mo 0.5000 0.5000 0.5000  6 S 2.47
3 S 0.1081 0.1081 0.6757  3 Mo 2.47
4 S 0.8919 0.8919 0.3243  3 Mo 2.47

Output
Uncorrected formation energy: -0.489 eV per atom
Electronic total energy: -6.4552 eV/atom



Compound: PrSbMo
Source: Alexandria via LeMat-Bulk
Functional: PBE
Structure: relaxed

Cell lengths 4.2677, 8.7814, 8.0048 Å; angles 93.26, 90.00, 90.00 degrees
With the nearest neighbours (Å) after each atom.
Fractional positions:
1 Sb 0.2500 0.6429 0.7704  4 Mo 2.82-2.91
2 Sb 0.7500 0.8571 0.2296  4 Mo 2.82-2.91
3 Sb 0.7500 0.3571 0.2296  4 Mo 2.82-2.91
4 Sb 0.2500 0.1429 0.7704  4 Mo 2.82-2.91
5 Mo 0.2500 0.9116 0.0000  2 Mo 2.64, 4 Sb 2.82-2.91
6 Mo 0.7500 0.5884 0.0000  2 Mo 2.64, 4 Sb 2.82-2.91
7 Mo 0.7500 0.0884 0.0000  2 Mo 2.64, 4 Sb 2.82-2.91
8 Mo 0.2500 0.4116 0.0000  2 Mo 2.64, 4 Sb 2.82-2.91
9 Pr 0.2500 0.6180 0.3414  5 Sb 3.16-3.43, 3 Mo 3.19-3.47
10 Pr 0.7500 0.8820 0.6586  5 Sb 3.16-3.43, 3 Mo 3.19-3.47
11 Pr 0.7500 0.3820 0.6586  5 Sb 3.16-3.43, 3 Mo 3.19-3.47
12 Pr 0.2500 0.1180 0.3414  5 Sb 3.16-3.43, 3 Mo 3.19-3.47

Output
Uncorrected formation energy: -0.406 eV per atom
Electronic total energy: -6.9839 eV/atom



Compound: PrSc2Mo
Source: Alexandria via LeMat-Bulk
Functional: PBE
Structure: relaxed

Cell lengths 3.3601, 3.3601, 8.5737 Å; angles 90.00, 90.00, 90.00 degrees
With the nearest neighbours (Å) after each atom.
Fractional positions:
1 Pr 0.5000 0.5000 0.5000  4 Pr 3.36, 8 Sc 3.60
2 Sc 0.0000 0.0000 0.8149  4 Mo 2.86, 1 Sc 3.17
3 Sc 0.0000 0.0000 0.1851  4 Mo 2.86, 1 Sc 3.17
4 Mo 0.5000 0.5000 0.0000  8 Sc 2.86

Output
Polymorph energy (0 for the lowest one): 0 meV per atom
Energy relative to the elements: 0.1494 eV/atom
Electronic total energy: -6.9191 eV/atom



Compound: PrSc2Mo
Source: Alexandria via LeMat-Bulk
Functional: PBE
Structure: relaxed

Cell lengths 3.2972, 3.2972, 10.8034 Å; angles 81.22, 81.22, 60.00 degrees
With the nearest neighbours (Å) after each atom.
Fractional positions:
1 Pr 0.0000 0.0000 0.0000  6 Pr 3.30, 2 Sc 3.35
2 Sc 0.1049 0.1049 0.6853  3 Mo 2.74
3 Sc 0.8951 0.8951 0.3147  3 Mo 2.74
4 Mo 0.5000 0.5000 0.5000  6 Sc 2.74

Output
Polymorph energy (0 for the lowest one): 176 meV per atom
Energy relative to the elements: 0.3256 eV/atom
Electronic total energy: -6.7428 eV/atom



Compound: PrSi2Mo4
Source: Alexandria via LeMat-Bulk
Functional: PBE
Structure: relaxed

Cell lengths 4.4102, 4.4467, 6.9674 Å; angles 108.61, 90.00, 90.00 degrees
With the nearest neighbours (Å) after each atom.
Fractional positions:
1 Pr 0.0000 0.0000 0.0000  8 Si 3.38, 8 Mo 3.38-3.43
2 Si 0.5000 0.5958 0.1916  1 Si 2.53, 5 Mo 2.57-2.78
3 Si 0.5000 0.4042 0.8084  1 Si 2.53, 5 Mo 2.57-2.78
4 Mo 0.5000 0.8061 0.6123  3 Si 2.57-2.78, 4 Mo 2.63-2.67
5 Mo 0.0000 0.6976 0.3952  2 Si 2.58, 4 Mo 2.62-2.63
6 Mo 0.5000 0.1939 0.3877  3 Si 2.57-2.78, 4 Mo 2.63-2.67
7 Mo 0.0000 0.3024 0.6048  2 Si 2.58, 4 Mo 2.62-2.63

Output
Uncorrected formation energy: -0.205 eV per atom
Electronic total energy: -8.6266 eV/atom



Compound: PrSiMo
Source: Alexandria via LeMat-Bulk
Functional: PBE
Structure: relaxed

Cell lengths 3.9704, 3.9704, 8.0869 Å; angles 90.00, 90.00, 90.00 degrees
With the nearest neighbours (Å) after each atom.
Fractional positions:
1 Si 0.5000 0.0000 0.7117  4 Mo 2.62
2 Si 0.0000 0.5000 0.2883  4 Mo 2.62
3 Pr 0.5000 0.0000 0.1492  4 Si 3.02
4 Pr 0.0000 0.5000 0.8508  4 Si 3.02
5 Mo 0.5000 0.5000 0.5000  4 Si 2.62, 4 Mo 2.81
6 Mo 0.0000 0.0000 0.5000  4 Si 2.62, 4 Mo 2.81

Output
Uncorrected formation energy: -0.435 eV per atom
Electronic total energy: -7.4461 eV/atom



Compound: PrSi2TcMo
Source: Alexandria via LeMat-Bulk
Functional: PBE
Structure: relaxed

Cell lengths 4.0864, 4.0864, 6.1913 Å; angles 109.27, 109.27, 90.00 degrees
With the nearest neighbours (Å) after each atom.
Fractional positions:
1 Pr 0.0000 0.0000 0.0000  8 Si 3.16, 4 Tc 3.42, 4 Mo 3.42
2 Si 0.6172 0.6172 0.2344  2 Mo 2.51, 2 Tc 2.51, 1 Si 2.57
3 Si 0.3828 0.3828 0.7656  2 Mo 2.51, 2 Tc 2.51, 1 Si 2.57
4 Tc 0.2500 0.7500 0.5000  4 Si 2.51
5 Mo 0.7500 0.2500 0.5000  4 Si 2.51

Output
Uncorrected formation energy: -0.503 eV per atom
Electronic total energy: -7.8672 eV/atom



Compound: TbPrMo
Source: Alexandria via LeMat-Bulk
Functional: PBE
Structure: relaxed

Cell lengths 3.3591, 3.3591, 14.1848 Å; angles 90.00, 90.00, 90.00 degrees
With the nearest neighbours (Å) after each atom.
Fractional positions:
1 Pr 0.0000 0.5000 0.6026  8 Pr 3.36-3.76
2 Pr 0.5000 0.0000 0.3974  8 Pr 3.36-3.76
3 Tb 0.5000 0.0000 0.8142  5 Mo 3.09-3.29, 4 Tb 3.36
4 Tb 0.0000 0.5000 0.1858  5 Mo 3.09-3.29, 4 Tb 3.36
5 Mo 0.0000 0.5000 0.9537  4 Mo 2.71
6 Mo 0.5000 0.0000 0.0463  4 Mo 2.71

Output
Energy relative to the elements: 0.1394 eV/atom
Electronic total energy: -6.6076 eV/atom



Compound: PrThMo
Source: Alexandria via LeMat-Bulk
Functional: PBE
Structure: relaxed

Cell lengths 3.9327, 4.2797, 10.6624 Å; angles 78.42, 90.00, 90.00 degrees
With the nearest neighbours (Å) after each atom.
Fractional positions:
1 Th 0.2500 0.0796 0.8408  6 Mo 3.02-3.30
2 Th 0.7500 0.9204 0.1592  6 Mo 3.02-3.30
3 Mo 0.2500 0.4593 0.0814  2 Mo 2.60
4 Mo 0.7500 0.5407 0.9186  2 Mo 2.60
5 Pr 0.7500 0.6969 0.6063  1 Mo 3.26
6 Pr 0.2500 0.3031 0.3937  1 Mo 3.26

Output
Energy relative to the elements: 0.2293 eV/atom
Electronic total energy: -7.4475 eV/atom



Compound: PrTh2Mo
Source: Alexandria via LeMat-Bulk
Functional: PBE
Structure: relaxed

Cell lengths 3.5192, 3.5192, 11.2611 Å; angles 81.01, 81.01, 60.00 degrees
With the nearest neighbours (Å) after each atom.
Fractional positions:
1 Pr 0.0000 0.0000 0.0000  2 Th 3.35, 6 Pr 3.52
2 Mo 0.5000 0.5000 0.5000  6 Th 2.98
3 Th 0.1009 0.1009 0.6973  3 Mo 2.98
4 Th 0.8991 0.8991 0.3027  3 Mo 2.98

Output
Polymorph energy (0 for the lowest one): 278 meV per atom
Energy relative to the elements: 0.4536 eV/atom
Electronic total energy: -7.1590 eV/atom



Compound: PrTh2Mo
Source: Alexandria via LeMat-Bulk
Functional: PBE
Structure: relaxed

Cell lengths 3.6038, 3.6038, 8.6941 Å; angles 90.00, 90.00, 90.00 degrees
With the nearest neighbours (Å) after each atom.
Fractional positions:
1 Pr 0.5000 0.5000 0.5000  4 Pr 3.60, 8 Th 3.62
2 Mo 0.5000 0.5000 0.0000  8 Th 3.10
3 Th 0.0000 0.0000 0.7963  4 Mo 3.10
4 Th 0.0000 0.0000 0.2037  4 Mo 3.10

Output
Polymorph energy (0 for the lowest one): 0 meV per atom
Energy relative to the elements: 0.1752 eV/atom
Electronic total energy: -7.4373 eV/atom